Here is crystalline Ce2AlSn at its relaxed geometry from Alexandria. Energies are from PBE-GGA.

```
data_Ce2AlSn
_space_group_name_H-M_alt 'C m m m'
_space_group_IT_number 65
_space_group_name_Hall '-C 2 2'
_cell_length_a 6.173
_cell_length_b 8.130
_cell_length_c 4.131
_cell_angle_alpha 90.00
_cell_angle_beta 90.00
_cell_angle_gamma 90.00
loop_
_atom_site_label
_atom_site_type_symbol
_atom_site_fract_x
_atom_site_fract_y
_atom_site_fract_z
_atom_site_occupancy
Ce1 Ce 0.250 0.250 0.000 1
Al1 Al 0.000 0.000 0.500 1
Sn1 Sn 0.000 0.500 0.500 1
```

The calculation puts the density at 6.8 g cm⁻³. As for the formation energy: -0.41 eV/atom.